# 1
InAg4Sb | PBE-GGA | optimized geometry

Summary:
Formation energy (no corrections)   0.35 eV per formula unit
Density of states at the Fermi level   1.3 states/eV/cell
Total DFT energy (no corrections)   -2.99 eV per atom

a b c (Å): 5.636 5.636 5.636
angles (deg): 60.00 60.00 60.00
Fractional coordinates of all 6 atoms:
Ag: 0.625 0.125 0.625
Ag: 0.625 0.625 0.125
Ag: 0.625 0.625 0.625
Ag: 0.125 0.625 0.625
In: 0.250 0.250 0.250
Sb: 0.000 0.000 0.000

# 2
PaTcGe2 | PBE-GGA | optimized geometry

Summary:
Energy above the most stable polymorph in this dataset   0 meV per atom
Density of states at the Fermi level   3.2 states/eV/cell
DFT formation energy   -0.433 eV per atom
Total DFT energy (no corrections)   -7.71 eV per atom

a b c (Å): 4.379 5.342 7.043
angles (deg): 90.00 90.00 114.36
Fractional coordinates of all 8 atoms:
Ge: 0.368 0.738 0.455
Ge: 0.368 0.738 0.045
Ge: 0.632 0.262 0.545
Ge: 0.632 0.262 0.955
Tc: 0.843 0.689 0.250
Tc: 0.157 0.311 0.750
Pa: 0.095 0.191 0.250
Pa: 0.905 0.809 0.750

# 3
Y2InTe | PBE-GGA | optimized geometry

Summary:
Formation energy (no corrections)   -3.47 eV per formula unit
Energy above the most stable polymorph in this dataset   80 meV per atom
Density of states at the Fermi level   2.0 states/eV/cell
Total DFT energy (no corrections)   -5.57 eV per atom

a b c (Å): 4.156 4.156 8.284
angles (deg): 75.44 75.44 60.04
Fractional coordinates of all 4 atoms:
Te: 0.250 0.250 0.250
In: 0.750 0.750 0.750
Y: 0.501 0.501 0.496
Y: 0.999 0.999 0.004

# 4
Sm4Ho2ErTh | PBE-GGA | optimized geometry

Summary:
Density of states at the Fermi level   11.1 states/eV/cell
DFT formation energy   0.034 eV per atom
Total DFT energy (no corrections)   -4.97 eV per atom

a b c (Å): 5.060 5.055 11.348
angles (deg): 63.56 90.00 90.00
Fractional coordinates of all 8 atoms:
Sm: 0.000 0.249 0.251
Sm: 0.000 0.751 0.749
Sm: 0.500 0.749 0.251
Sm: 0.500 0.251 0.749
Ho: 0.500 0.000 0.500
Ho: 0.000 0.000 0.000
Er: 0.500 0.500 0.000
Th: 0.000 0.500 0.500

- Look up the total DFT energy (no corrections) of the first one.
  -2.99 eV per atom